[1]
Re2TcAg PBE optimized geometry; energy above the lowest structure with this stoichiometry = 116 meV/atom; energy relative to the elements = 0.37 eV per atom; DOS(E_F) = 3.717 states/eV/cell
1.0
2.759 0.000 0.000
0.000 2.759 0.000
0.000 0.000 8.190
Re Tc Ag
2 1 1
Cartesian
0.000 0.000 0.000
1.380 1.380 1.906
0.000 0.000 3.780
1.380 1.380 5.984


[2]
ErTl2Hg PBE optimized geometry; energy relative to the elements = 0.11 eV per atom; DOS(E_F) = 2.974 states/eV/cell
1.0
1.746 1.008 11.474
-1.746 1.008 11.474
0.000 -2.016 11.474
Er Tl Hg
1 2 1
Cartesian
0.000 0.000 0.000
0.000 0.000 3.119
0.000 0.000 31.304
0.000 0.000 17.211


[3]
Re2Pt2Rh5 PBE optimized geometry; energy relative to the elements = -0.10 eV per atom; DOS(E_F) = 8.315 states/eV/cell
1.0
5.815 -1.947 0.000
5.815 1.947 0.000
-1.937 0.000 5.798
Re Pt Rh
2 2 5
Cartesian
0.024 0.000 1.953
9.670 0.000 3.845
3.919 0.000 1.925
5.774 0.000 3.873
1.900 0.000 0.018
2.013 0.000 3.839
5.815 0.000 0.000
7.680 0.000 1.959
7.793 0.000 5.780


[4]
Be2PSe PBE optimized geometry; energy above the lowest structure with this stoichiometry = 85 meV/atom; uncorrected formation energy = -0.25 eV/atom; DOS(E_F) = 0.360 states/eV/cell
1.0
2.955 0.000 0.000
1.069 3.471 0.000
0.682 0.361 5.985
Be P Se
2 1 1
Cartesian
0.000 0.000 0.000
1.248 2.112 2.470
2.689 1.980 0.807
0.738 0.366 3.740